# 1
Computed, not measured: HgSe2Br after structural relaxation at the PBE level of DFT.

M_tot in μB per formula unit: 0.00
Uncorrected formation energy in eV per formula unit: 2.09
Total energy in eV per atom: -1.714

a b c (Å): 5.434 5.434 3.164
angles (deg): 90.00 90.00 90.00
Space group P4/mmm (No. 123)
Inequivalent atoms, fractional coordinates:
Hg: 0.000 0.000 0.000 [1 per cell]
Se: 0.000 0.500 0.500 [2 per cell]
Br: 0.500 0.500 0.000 [1 per cell]

# 2
Computed, not measured: HgSe2Br after structural relaxation at the PBE level of DFT.

M_tot in μB per formula unit: 0.00
Uncorrected formation energy in eV per formula unit: -0.15
Total energy in eV per atom: -2.274

a b c (Å): 10.229 3.903 7.401
angles (deg): 90.00 93.84 90.00
Space group Cm (No. 8)
Inequivalent atoms, fractional coordinates:
Hg: 0.000 0.000 0.000 [2 per cell]
Se: 0.139 0.500 0.231 [2 per cell]
Se: 0.359 0.500 0.305 [2 per cell]
Br: 0.446 0.000 0.749 [2 per cell]

Number 2 is which compound?
HgSe2Br